Record 1
The following is a GGA-PBE calculation of an optimized crystal structure of Li3CrAg, from Alexandria via LeMat-Bulk.

The structure belongs to space group Pm-3m (No. 221); the cell edges are 4.6782, 4.6782 and 4.6782 Å and the angles 90.00°, 90.00° and 90.00°. The distinct sites, in fractional coordinates, are Li at (0.0000, 0.0000, 0.5000), Cr at (0.5000, 0.5000, 0.5000) and Ag at (0.0000, 0.0000, 0.0000).

Its formation energy is 503 kJ/mol of formula units. As for the crystal system: cubic. The calculation puts the density of states at the Fermi level at 10.98 states/eV/cell. The calculation puts the size of the total moment at 0.70 μB per cell.


Record 2
The following is a GGA-PBE calculation of an optimized crystal structure of Li2CrAgN, from Alexandria via LeMat-Bulk.

The structure belongs to space group P4/mmm (No. 123); the cell edges are 4.1589, 4.1589 and 3.7470 Å and the angles 90.00°, 90.00° and 90.00°. The distinct sites, in fractional coordinates, are Li at (0.0000, 0.5000, 0.0000), Cr at (0.0000, 0.0000, 0.5000), Ag at (0.5000, 0.5000, 0.5000) and N at (0.0000, 0.0000, 0.0000).

As for the crystal system: tetragonal. The calculation puts the density of states at the Fermi level at 1.00 states/eV/cell. Its formation energy (no corrections) is -0.26 eV per atom. The calculation puts the size of the total moment at 2.61 μB per cell.


Record 3
The following is a GGA-PBE calculation of an optimized crystal structure of NaLi2CrAg, from Alexandria via LeMat-Bulk.

The structure belongs to space group P4/mmm (No. 123); the cell edges are 4.9706, 4.9706 and 5.2459 Å and the angles 90.00°, 90.00° and 90.00°. The distinct sites, in fractional coordinates, are Na at (0.0000, 0.0000, 0.0000), Li at (0.0000, 0.5000, 0.5000), Cr at (0.5000, 0.5000, 0.0000) and Ag at (0.5000, 0.5000, 0.5000).

Its formation energy is 211 kJ/mol of formula units. As for the crystal system: tetragonal. The calculation puts the density of states at the Fermi level at 1.83 states/eV/cell. The calculation puts the size of the total moment at 4.70 μB per cell.


Record 4
The following is a GGA-PBE calculation of an optimized crystal structure of Li2CrNiAg, from Alexandria via LeMat-Bulk.

The structure belongs to space group P4/mmm (No. 123); the cell edges are 4.5212, 4.5212 and 4.8220 Å and the angles 90.00°, 90.00° and 90.00°. The distinct sites, in fractional coordinates, are Li at (0.0000, 0.5000, 0.0000), Cr at (0.0000, 0.0000, 0.5000), Ni at (0.5000, 0.5000, 0.5000) and Ag at (0.5000, 0.5000, 0.0000).

Its formation energy is 379 kJ/mol of formula units. As for the crystal system: tetragonal. The calculation puts the density of states at the Fermi level at 2.45 states/eV/cell. The calculation puts the size of the total moment at 4.82 μB per cell.